{
  "formula": "SrCoAsHO5",
  "functional": "GGA+U",
  "state": "optimized geometry",
  "volume_a3_per_cell": 420,
  "energy_ev_per_atom": -6.11,
  "lattice_angstrom": [[6.0299, 0.0000, 0.0000], [0.0000, 7.5662, 0.0000], [0.0000, 0.0000, 9.1997]],
  "species": ["Co", "Co", "Co", "Co", "O", "O", "O", "O", "O", "O", "O", "O", "O", "O", "O", "O", "O", "O", "O", "O", "O", "O", "O", "O", "Sr", "Sr", "Sr", "Sr", "As", "As", "As", "As", "H", "H", "H", "H"],
  "fractional_positions": [[0.2443, 0.7572, 0.0051], [0.2557, 0.2428, 0.5051], [0.7443, 0.7428, 0.9949], [0.7557, 0.2572, 0.4949], [0.7359, 0.8566, 0.7787], [0.2641, 0.3566, 0.7213], [0.5676, 0.2073, 0.9265], [0.4324, 0.7073, 0.5735], [0.9973, 0.1011, 0.5654], [0.7583, 0.6069, 0.2018], [0.5027, 0.8989, 0.0654], [0.0097, 0.4391, 0.4300], [0.4973, 0.3989, 0.4346], [0.2359, 0.6434, 0.2213], [0.5097, 0.0609, 0.5700], [0.9903, 0.9391, 0.0700], [0.7417, 0.3931, 0.7018], [0.4903, 0.5609, 0.9300], [0.0676, 0.2927, 0.0735], [0.0027, 0.6011, 0.9346], [0.7641, 0.1434, 0.2787], [0.9324, 0.7927, 0.4265], [0.2583, 0.8931, 0.7982], [0.2417, 0.1069, 0.2982], [0.0253, 0.6357, 0.6681], [0.4747, 0.3643, 0.1681], [0.9747, 0.1357, 0.8319], [0.5253, 0.8643, 0.3319], [0.4882, 0.8819, 0.6873], [0.0118, 0.1181, 0.1873], [0.9882, 0.6181, 0.3127], [0.5118, 0.3819, 0.8127], [0.4902, 0.5109, 0.4902], [0.5098, 0.0109, 0.0097], [0.0098, 0.4891, 0.9902], [0.9902, 0.9891, 0.5097]]
}